DFT (PBE) results for crystalline ZnSb2Au at its relaxed geometry.

Output
raw formation energy: 6.0 kJ/mol of atoms

Structure (CIF):
```
data_ZnSb2Au
_chemical_formula_sum 'Zn2 Sb4 Au2'
_cell_length_a 6.0452
_cell_length_b 8.0519
_cell_length_c 4.9736
_cell_angle_alpha 90.00
_cell_angle_beta 126.58
_cell_angle_gamma 90.00
_space_group_name_H-M_alt 'C 1 2/m 1'
_space_group_IT_number 12
loop_
_space_group_symop_operation_xyz
'x,y,z'
'-x,-y,-z'
'-x,y,-z'
'x,-y,z'
'x+1/2,y+1/2,z'
'-x+1/2,-y+1/2,-z'
'-x+1/2,y+1/2,-z'
'x+1/2,-y+1/2,z'
loop_
_atom_site_label
_atom_site_type_symbol
_atom_site_fract_x
_atom_site_fract_y
_atom_site_fract_z
Zn1 Zn 0.0000 0.0000 0.0000
Sb1 Sb 0.2500 0.2500 0.5000
Au1 Au 0.0000 0.5000 0.0000
```